1.
Here is a geometry-optimized TbSm2GaC structure from Alexandria. Energies are from GGA-PBE.

Unit cell a=4.8924 b=4.9956 c=4.9956 alpha=90.00 beta=90.00 gamma=90.00
Fractional positions:
Ga 0.5000 0.5000 0.5000
Tb 0.5000 0.0000 0.0000
Sm 0.0000 0.0000 0.5000
Sm 0.0000 0.5000 0.0000
C 0.0000 0.0000 0.0000

Properties
- Energy of formation from the pure elements: -349 meV/atom
- Mass density: 7363 kg/m³
- E_tot: -28.1 eV for the cell shown

***

2.
Here is a geometry-optimized Tb2SmGaC structure from Alexandria. Energies are from GGA-PBE.

Unit cell a=4.9925 b=4.8934 c=4.8934 alpha=90.00 beta=90.00 gamma=90.00
Fractional positions:
Tb 0.0000 0.5000 0.0000
Ga 0.5000 0.5000 0.5000
Tb 0.0000 0.0000 0.5000
C 0.0000 0.0000 0.0000
Sm 0.5000 0.0000 0.0000

Properties
- Energy of formation from the pure elements: -384 meV/atom
- Mass density: 7639 kg/m³
- E_tot: -28.1 eV for the cell shown

***

3.
Here is a geometry-optimized Sm3Ga2Tc3C structure from Alexandria. Energies are from GGA-PBE.

Unit cell a=3.4550 b=7.4877 c=7.4877 alpha=120.00 beta=90.00 gamma=90.00
Fractional positions:
Tc 0.5000 0.0000 0.7830
C 0.0000 0.0000 0.0000
Ga 0.5000 0.3333 0.6667
Tc 0.5000 0.2170 0.2170
Sm 0.0000 0.6398 0.6398
Sm 0.0000 0.0000 0.3602
Sm 0.0000 0.3602 0.0000
Tc 0.5000 0.7830 0.0000
Ga 0.5000 0.6667 0.3333

Properties
- Energy of formation from the pure elements: 2 meV/atom
- Mass density: 8875 kg/m³
- E_tot: -60.5 eV for the cell shown

***

4.
Here is a geometry-optimized SmY2GaC structure from Alexandria. Energies are from GGA-PBE.

Unit cell a=5.0035 b=4.8738 c=4.8738 alpha=90.00 beta=90.00 gamma=90.00
Fractional positions:
Y 0.0000 0.5000 0.0000
C 0.0000 0.0000 0.0000
Ga 0.5000 0.5000 0.5000
Y 0.0000 0.0000 0.5000
Sm 0.5000 0.0000 0.0000

Properties
- Energy of formation from the pure elements: -422 meV/atom
- Mass density: 5727 kg/m³
- E_tot: -32.0 eV for the cell shown

***

5.
Here is a geometry-optimized GaSnC structure from Alexandria. Energies are from GGA-PBE.

Unit cell a=3.3430 b=6.0229 c=6.0477 alpha=73.87 beta=90.05 gamma=74.85
Fractional positions:
Sn 0.2387 0.0227 0.7528
C 0.9801 0.5406 0.3777
C 0.0199 0.4594 0.6223
Ga 0.4962 0.5046 0.2018
Ga 0.5038 0.4954 0.7982
Sn 0.7613 0.9773 0.2472

Properties
- Energy of formation from the pure elements: 501 meV/atom
- Mass density: 5914 kg/m³
- E_tot: -29.5 eV for the cell shown

***

6.
Here is a geometry-optimized Ga2SnC structure from Alexandria. Energies are from GGA-PBE.

Unit cell a=4.6786 b=4.6786 c=4.6786 alpha=60.00 beta=60.00 gamma=60.00
Fractional positions:
Ga 0.2500 0.2500 0.2500
C 0.0000 0.0000 0.0000
Sn 0.5000 0.5000 0.5000
Ga 0.7500 0.7500 0.7500

Properties
- Energy of formation from the pure elements: 1301 meV/atom
- Mass density: 6195 kg/m³
- E_tot: -14.1 eV for the cell shown

***

7.
Here is a geometry-optimized GaSnC structure from Alexandria. Energies are from GGA-PBE.

Unit cell a=3.4351 b=3.4351 c=5.1661 alpha=90.00 beta=90.00 gamma=120.00
Fractional positions:
Ga 0.6667 0.3333 0.5356
C 0.3333 0.6667 0.5343
Sn 0.3333 0.6667 0.0358

Properties
- Energy of formation from the pure elements: 562 meV/atom
- Mass density: 6305 kg/m³
- E_tot: -14.6 eV for the cell shown

***

8.
Here is a geometry-optimized GaSnC structure from Alexandria. Energies are from GGA-PBE.

Unit cell a=5.9792 b=3.3849 c=5.8692 alpha=90.00 beta=108.84 gamma=90.00
Fractional positions:
Ga 0.3232 0.0000 0.0930
C 0.2594 0.5000 0.9049
Ga 0.3232 0.5000 0.5930
Sn 0.8655 0.0000 0.2748
Sn 0.8655 0.5000 0.7748
C 0.2594 0.0000 0.4049

Properties
- Energy of formation from the pure elements: 535 meV/atom
- Mass density: 5921 kg/m³
- E_tot: -29.3 eV for the cell shown

***

9.
Here is a geometry-optimized GaSnC structure from Alexandria. Energies are from GGA-PBE.

Unit cell a=3.4120 b=6.3573 c=5.3836 alpha=90.00 beta=90.00 gamma=90.00
Fractional positions:
Sn 0.5000 0.0525 0.8037
Sn 0.0000 0.9475 0.3037
C 0.5000 0.3977 0.7580
Ga 0.0000 0.4677 0.5893
C 0.0000 0.6023 0.2580
Ga 0.5000 0.5323 0.0893

Properties
- Energy of formation from the pure elements: 481 meV/atom
- Mass density: 5701 kg/m³
- E_tot: -29.6 eV for the cell shown

***

10.
Here is a geometry-optimized GaSnC structure from Alexandria. Energies are from GGA-PBE.

Unit cell a=5.5481 b=3.3199 c=6.1303 alpha=90.00 beta=100.95 gamma=90.00
Fractional positions:
Sn 0.9693 0.0000 0.7474
C 0.4726 0.0000 0.3825
Ga 0.5182 0.5000 0.2026
Sn 0.0307 0.0000 0.2526
Ga 0.4818 0.5000 0.7974
C 0.5274 0.0000 0.6175

Properties
- Energy of formation from the pure elements: 505 meV/atom
- Mass density: 6005 kg/m³
- E_tot: -29.5 eV for the cell shown

***

11.
Here is a geometry-optimized GaSnC structure from Alexandria. Energies are from GGA-PBE.

Unit cell a=3.1639 b=6.0807 c=6.5342 alpha=72.67 beta=89.99 gamma=90.01
Fractional positions:
C 0.5002 0.6119 0.4768
Sn 0.0012 0.2244 0.0608
Ga 0.0003 0.8264 0.4252
Ga 0.9997 0.1736 0.5748
C 0.4998 0.3881 0.5232
Sn 0.9988 0.7756 0.9392

Properties
- Energy of formation from the pure elements: 460 meV/atom
- Mass density: 5547 kg/m³
- E_tot: -29.7 eV for the cell shown

***

12.
Here is a geometry-optimized Ga2SnC structure from Alexandria. Energies are from GGA-PBE.

Unit cell a=5.7343 b=5.7343 c=6.2402 alpha=62.65 beta=62.65 gamma=90.00
Fractional positions:
Ga 0.3750 0.4914 0.7500
Sn 0.7500 0.2500 0.5000
C 0.5000 0.5000 0.0000
Ga 0.8750 0.7586 0.7500
Sn 0.0000 0.0000 0.0000
Ga 0.2414 0.6250 0.2500
Ga 0.5086 0.1250 0.2500
C 0.2500 0.7500 0.5000

Properties
- Energy of formation from the pure elements: 473 meV/atom
- Mass density: 5753 kg/m³
- E_tot: -34.8 eV for the cell shown

***

Number 1: V 122.1 Å³ per cell, N(E_F) 2.130 states/eV/f.u.. Number 2: V 119.5 Å³ per cell, N(E_F) 2.009 states/eV/f.u.. Number 3: V 167.8 Å³ per cell, N(E_F) 9.030 states/eV/f.u.. Number 4: V 118.9 Å³ per cell, N(E_F) 2.060 states/eV/f.u.. Number 5: V 112.6 Å³ per cell, N(E_F) 1.176 states/eV/f.u.. Number 6: V 72.4 Å³ per cell, N(E_F) 1.968 states/eV/f.u.. Number 7: V 52.8 Å³ per cell, N(E_F) 1.139 states/eV/f.u.. Number 8: V 112.4 Å³ per cell, N(E_F) 1.160 states/eV/f.u.. Number 9: V 116.8 Å³ per cell, N(E_F) 0.885 states/eV/f.u.. Number 10: V 110.9 Å³ per cell, N(E_F) 0.953 states/eV/f.u.. Number 11: V 120.0 Å³ per cell, N(E_F) 0.501 states/eV/f.u.. Number 12: V 156.0 Å³ per cell, N(E_F) 0.162 states/eV/f.u..